# ScSi7Ir3

An optimized crystal structure of ScSi7Ir3 (PBEsol, Alexandria via LeMat-Bulk).

Output
Electronic total energy ... -7.70 eV per atom
Uncorrected formation energy ... -0.77 eV per atom
Magnetization ... 0.0 μB/f.u.

abc: 7.4944 7.4944 7.9123
angles: 61.73 61.73 60.00
Closest atoms and distances in Å follow each position.
Fractional coordinates of all 22 atoms:
Si  0.8288  0.4335  0.0884  3 Ir 2.42-2.49, 3 Si 2.57-2.69
Si  0.3507  0.1712  0.9116  3 Ir 2.42-2.49, 3 Si 2.57-2.69
Si  0.2500  0.2500  0.2500  3 Ir 2.42, 6 Si 2.69
Si  0.0665  0.6712  0.4116  3 Ir 2.42-2.49, 3 Si 2.57-2.69
Si  0.1493  0.9335  0.5884  3 Ir 2.42-2.49, 3 Si 2.57-2.69
Si  0.4335  0.6493  0.0884  3 Ir 2.42-2.49, 3 Si 2.57-2.69
Si  0.6493  0.8288  0.0884  3 Ir 2.42-2.49, 3 Si 2.57-2.69
Si  0.1712  0.5665  0.9116  3 Ir 2.42-2.49, 3 Si 2.57-2.69
Si  0.9335  0.3288  0.5884  3 Ir 2.42-2.49, 3 Si 2.57-2.69
Si  0.3288  0.1493  0.5884  3 Ir 2.42-2.49, 3 Si 2.57-2.69
Si  0.7500  0.7500  0.7500  3 Ir 2.42, 6 Si 2.69
Si  0.6712  0.8507  0.4116  3 Ir 2.42-2.49, 3 Si 2.57-2.69
Si  0.5665  0.3507  0.9116  3 Ir 2.42-2.49, 3 Si 2.57-2.69
Si  0.8507  0.0665  0.4116  3 Ir 2.42-2.49, 3 Si 2.57-2.69
Ir  0.0731  0.4269  0.7500  7 Si 2.42-2.49
Ir  0.9269  0.5731  0.2500  7 Si 2.42-2.49
Ir  0.2500  0.9269  0.2500  7 Si 2.42-2.49
Ir  0.4269  0.7500  0.7500  7 Si 2.42-2.49
Ir  0.5731  0.2500  0.2500  7 Si 2.42-2.49
Ir  0.7500  0.0731  0.7500  7 Si 2.42-2.49
Sc  0.5000  0.5000  0.5000  6 Ir 3.03, 12 Si 3.10-3.13
Sc  0.0000  0.0000  0.0000  6 Ir 3.03, 12 Si 3.10-3.13